LiCdPbCl5 (PBE-GGA, relaxed); calculated volume = 213 Å³/f.u.; uncorrected formation energy = -120.40 kJ per mole of atoms; symmetry = C2/c (15)
1.0
4.2243 -5.8438 0.0000
4.2243 5.8438 0.0000
-3.2209 0.0000 8.6209
Li Cd Pb Cl
2 2 2 10
Cartesian
1.8086 3.6041 6.4657
3.4190 -3.6041 2.1552
4.2243 0.0000 0.0000
2.6138 0.0000 4.3104
3.4190 4.3878 2.1552
1.8086 -4.3878 6.4657
-0.0549 0.7565 3.8644
0.2350 2.2024 7.4527
-1.6654 -0.7565 8.1748
3.4190 1.2310 2.1552
3.3821 2.2024 5.4786
1.8455 -2.2024 3.1423
1.8086 -1.2310 6.4657
6.8930 0.7565 0.4460
4.9926 -2.2024 1.1681
5.2825 -0.7565 4.7565

***

La2PbW (PBE-GGA, relaxed); calculated volume = 103 Å³/f.u.; calculated formation energy = 0.430 eV per atom; symmetry = F-43m (216)
1.0
0.0000 3.7243 3.7243
3.7243 0.0000 3.7243
3.7243 3.7243 0.0000
La Pb W
2 1 1
Cartesian
0.0000 0.0000 0.0000
1.8622 1.8622 1.8622
3.7243 3.7243 3.7243
5.5865 5.5865 5.5865

***

TaSi (PBE-GGA, relaxed); calculated volume = 32 Å³/f.u.; uncorrected formation energy = -26.68 kJ per mole of atoms; symmetry = P-1 (2)
1.0
2.8923 0.0000 0.0000
-0.8186 4.7544 0.0000
-1.2376 -1.0366 4.6193
Ta Si
2 2
Cartesian
-0.0750 1.3113 0.9958
0.9111 2.4065 3.6234
0.0810 -0.0360 3.3449
0.7551 3.7538 1.2743

***

ZnSbS2 (PBE-GGA, relaxed); calculated volume = 93 Å³/f.u.; uncorrected formation energy = -16.10 kJ per mole of atoms; symmetry = I-42d (122)
1.0
-3.2858 3.2858 4.2906
3.2858 -3.2858 4.2906
3.2858 3.2858 -4.2906
Zn Sb S
2 2 4
Cartesian
0.0000 0.0000 0.0000
0.0000 3.2858 2.1453
3.2858 0.0000 2.1453
0.0000 0.0000 4.2906
4.9287 1.3285 -1.0727
1.3285 1.6429 1.0727
-1.6429 1.9573 3.2180
1.9573 1.6429 5.3633

***

Mn2Cd2Br (PBE-GGA, relaxed); calculated volume = 97 Å³/f.u.; uncorrected formation energy = 40.93 kJ per mole of atoms; symmetry = I4/mmm (139)
1.0
-1.6550 1.6550 8.8232
1.6550 -1.6550 8.8232
1.6550 1.6550 -8.8232
Mn Cd Br
2 2 1
Cartesian
1.6550 0.0000 4.4116
0.0000 1.6550 4.4116
0.0000 0.0000 2.1605
0.0000 0.0000 15.4859
0.0000 0.0000 8.8232

***

LaOs2W (PBE-GGA, relaxed); calculated volume = 77 Å³/f.u.; calculated formation energy = 0.463 eV per atom; symmetry = Pm (6)
1.0
3.1064 0.0000 0.0000
0.0000 4.5727 0.0000
-1.0570 0.0000 5.4525
La Os W
1 2 1
Cartesian
0.0000 0.0000 0.0000
1.5569 2.2864 0.9970
1.4493 0.0000 2.7268
0.0538 2.2864 3.0054

***

Across the entries above, N(E_F) takes the values 0.00 0.95 0.39 0.70 1.03 1.11 states/eV per atom, respectively.
Across the entries above, E_tot takes the values -51.51 -24.80 -35.66 -28.64 -19.72 -38.49 eV/cell, respectively.